Density functional theory data (PBE with a Hubbard U) for an optimized crystal structure of Ba2CaV2CuF14.

The structure in POSCAR format:
```
Ba2CaV2CuF14
1.0
7.059 -2.734 0.000
7.059 2.734 0.000
-0.403 0.000 15.152
Ba Ca V Cu F
4 2 4 2 28
Direct
0.099 0.273 0.126
0.273 0.099 0.626
0.727 0.901 0.374
0.901 0.727 0.874
0.412 0.588 0.250
0.588 0.412 0.750
0.088 0.156 0.376
0.156 0.088 0.876
0.844 0.912 0.124
0.912 0.844 0.624
0.500 0.500 0.000
0.500 0.500 0.500
0.032 0.649 0.222
0.064 0.921 0.346
0.079 0.936 0.154
0.102 0.607 0.044
0.131 0.701 0.517
0.134 0.373 0.396
0.183 0.583 0.713
0.299 0.869 0.983
0.351 0.968 0.278
0.373 0.134 0.896
0.391 0.508 0.884
0.393 0.898 0.456
0.417 0.817 0.787
0.492 0.609 0.616
0.508 0.391 0.384
0.583 0.183 0.213
0.607 0.102 0.544
0.609 0.492 0.116
0.627 0.866 0.104
0.649 0.032 0.722
0.701 0.131 0.017
0.817 0.417 0.287
0.866 0.627 0.604
0.869 0.299 0.483
0.898 0.393 0.956
0.921 0.064 0.846
0.936 0.079 0.654
0.968 0.351 0.778
```

Computed properties:
VASP energy (eV/atom): -5.723
Spin magnetization (μB per formula unit): 3.0
Symmetry: C2/c, No. 15